Compound: VFeBi2O6
Source: Alexandria via LeMat-Bulk
Functional: PBE+U
Structure: optimized geometry

As for the electronic total energy: -6.5502 eV/atom.

It has space group P2_1/c (No. 14), with a = 5.533 Å, b = 5.871 Å, c = 9.382 Å, α = 90.00°, β = 124.70° and γ = 90.00°. Symmetry generates all atoms from V at (0.000, 0.000, 0.000), Fe at (0.500, 0.000, 0.500), Bi at (0.272, 0.055, 0.752), O at (0.132, 0.030, 0.237), O at (0.236, 0.709, 0.055) and O at (0.348, 0.183, 0.050).